No. 1
VASP calculation (PBEsol) on a relaxed LaP4Pb crystal.

Summary:
- final energy (eV per atom) = -5.585
- energy of formation (meV/atom) = -167
- space-group type = F-43m, No. 216

Structure (POSCAR):
```
LaP4Pb
1.0
5.454 0.000 0.000
2.727 4.724 0.000
2.727 1.575 4.454
La P Pb
1 4 1
Cartesian
0.000 0.000 0.000
5.454 4.590 1.717
4.207 2.429 1.717
6.702 2.429 1.717
5.454 3.149 3.755
8.182 4.724 3.340
```



No. 2
VASP calculation (PBEsol) on a relaxed Tl2TcW crystal.

Summary:
- excess energy over the best structure of this formula in the dataset (eV/f.u.) = 0.000
- final energy (eV per atom) = -7.051
- energy of formation (meV/atom) = 533
- space-group type = R3m, No. 160

Structure (POSCAR):
```
Tl2TcW
1.0
-0.632 -2.495 1.761
2.284 -1.401 1.596
-1.149 4.340 8.499
Tc Tl W
1 2 1
Cartesian
0.071 0.292 3.201
1.608 -3.753 3.545
0.413 0.212 8.735
0.313 0.018 5.661
```



No. 3
VASP calculation (PBEsol) on a relaxed BeP2Cl crystal.

Summary:
- excess energy over the best structure of this formula in the dataset (eV/f.u.) = 0.000
- final energy (eV per atom) = -4.215
- space-group type = Pmmm, No. 47
- raw formation energy (eV per atom) = 0.18

Structure (POSCAR):
```
BeP2Cl
1.0
-1.034 1.944 -1.270
-2.837 -0.473 1.586
2.195 4.638 5.312
P Cl Be
2 1 1
Cartesian
0.749 1.583 1.813
1.446 3.055 3.499
-1.935 0.735 0.158
-0.838 3.054 2.814
```



No. 4
VASP calculation (PBEsol) on a relaxed BaIn2Br crystal.

Summary:
- excess energy over the best structure of this formula in the dataset (eV/f.u.) = 0.000
- final energy (eV per atom) = -3.197
- space-group type = I4/mmm, No. 139
- raw formation energy (eV per atom) = -0.70

Structure (POSCAR):
```
BaIn2Br
1.0
-4.002 -1.244 1.520
1.963 -2.585 3.055
1.061 6.757 1.784
In Br Ba
2 1 1
Cartesian
-1.980 1.800 2.796
1.002 1.129 3.563
0.000 0.000 0.000
-1.019 -1.914 2.287
```



No. 5
VASP calculation (PBEsol) on a relaxed NbVB4 crystal.

Summary:
- final energy (eV per atom) = -8.864
- energy of formation (meV/atom) = -777
- space-group type = P6/mmm, No. 191

Structure (POSCAR):
```
NbVB4
1.0
-2.680 1.372 0.481
0.880 -2.300 1.798
2.789 4.092 3.871
B Nb V
4 1 1
Cartesian
0.435 0.012 2.388
-0.752 1.236 1.949
1.741 1.928 4.201
0.554 3.152 3.762
0.000 0.000 0.000
1.395 2.046 1.935
```



No. 6
VASP calculation (PBEsol) on a relaxed Na3TiCr crystal.

Summary:
- final energy (eV per atom) = -3.054
- energy of formation (meV/atom) = 1498
- space-group type = Pm-3m, No. 221

Structure (POSCAR):
```
Na3TiCr
1.0
5.528 0.000 0.000
0.000 5.528 0.000
0.000 0.000 5.528
Na Cr Ti
3 1 1
Cartesian
0.000 0.000 2.764
2.764 0.000 0.000
0.000 2.764 0.000
0.000 0.000 0.000
2.764 2.764 2.764
```



Question: Among the records above, which one has the highest final energy?
Answer: Na3TiCr